# 1
Material: Pu2Zn3Au2
Method: DFT, PBE
State: optimized geometry

a b c (Å): 3.009 7.111 7.897
angles (deg): 119.87 90.00 102.22
Site moments in Bohr magnetons follow the coordinates.
Fractional coordinates of all 7 atoms:
1 Zn 0.625 0.251 0.429  0.01
2 Zn 0.375 0.749 0.571  0.01
3 Zn 0.500 0.000 0.000  0.01
4 Pu 0.893 0.787 0.240  5.58
5 Pu 0.107 0.213 0.760  5.58
6 Au 0.813 0.627 0.794  0.02
7 Au 0.187 0.373 0.206  0.02

Computed properties:
The calculation puts the energy of formation from the pure elements at -0.20 eV per atom.

***

# 2
Material: Pu2ZnAu
Method: DFT, PBE
State: optimized geometry

a b c (Å): 3.862 3.862 6.117
angles (deg): 90.00 90.00 90.00
Site moments in Bohr magnetons follow the coordinates.
Fractional coordinates of all 4 atoms:
1 Pu 0.000 0.000 0.249  5.48
2 Pu 0.000 0.000 0.751  5.48
3 Zn 0.500 0.500 0.000  0.01
4 Au 0.500 0.500 0.500  0.03

Computed properties:
The calculation puts the energy of formation from the pure elements at -0.22 eV per atom.

***

# 3
Material: Pu3ZnAu3
Method: DFT, PBE
State: optimized geometry

a b c (Å): 4.882 3.129 10.483
angles (deg): 98.58 103.46 90.00
Site moments in Bohr magnetons follow the coordinates.
Fractional coordinates of all 7 atoms:
1 Au 0.563 0.563 0.126  0.01
2 Au 0.861 0.361 0.723  0.01
3 Au 0.144 0.644 0.289  -0.01
4 Pu 0.699 0.199 0.398  -5.38
5 Pu 0.300 0.800 0.600  5.39
6 Pu 0.001 0.001 0.002  5.44
7 Zn 0.431 0.431 0.862  0.01

Computed properties:
The calculation puts the energy of formation from the pure elements at -0.34 eV per atom.

***

# 4
Material: PuZn3Au2
Method: DFT, PBE
State: optimized geometry

a b c (Å): 3.996 8.915 7.232
angles (deg): 113.85 90.00 102.90
Site moments in Bohr magnetons follow the coordinates.
Fractional coordinates of all 12 atoms:
1 Zn 0.670 0.341 0.483  0.00
2 Zn 0.330 0.658 0.141  0.00
3 Zn 0.330 0.659 0.517  0.00
4 Zn 0.079 0.158 0.579  0.00
5 Zn 0.670 0.342 0.859  0.00
6 Zn 0.921 0.842 0.421  0.00
7 Pu 0.101 0.201 0.100  5.34
8 Pu 0.899 0.799 0.900  5.34
9 Au 0.245 0.493 0.746  0.00
10 Au 0.500 0.000 0.735  0.00
11 Au 0.755 0.507 0.254  0.00
12 Au 0.500 0.000 0.265  0.00

Computed properties:
The calculation puts the energy of formation from the pure elements at -0.28 eV per atom.

***

# 5
Material: PuZn3Au10
Method: DFT, PBE
State: optimized geometry

a b c (Å): 9.206 9.206 9.206
angles (deg): 60.00 60.00 60.00
Site moments in Bohr magnetons follow the coordinates.
Fractional coordinates of all 28 atoms:
1 Au 0.653 0.000 0.347  -0.01
2 Au 0.384 0.384 0.847  -0.02
3 Au 0.384 0.847 0.384  -0.02
4 Au 0.000 0.000 0.347  -0.01
5 Au 0.000 0.347 0.653  -0.01
6 Au 0.347 0.000 0.000  -0.01
7 Au 0.384 0.384 0.384  -0.02
8 Au 0.653 0.347 0.000  -0.01
9 Au 0.000 0.000 0.653  -0.01
10 Au 0.616 0.616 0.616  -0.02
11 Au 0.847 0.384 0.384  -0.02
12 Au 0.653 0.000 0.000  -0.01
13 Au 0.153 0.616 0.616  -0.02
14 Au 0.347 0.000 0.653  -0.01
15 Au 0.000 0.653 0.347  -0.01
16 Au 0.616 0.153 0.616  -0.02
17 Au 0.000 0.347 0.000  -0.01
18 Au 0.000 0.653 0.000  -0.01
19 Au 0.616 0.616 0.153  -0.02
20 Au 0.347 0.653 0.000  -0.01
21 Zn 0.266 0.734 0.266  0.00
22 Zn 0.266 0.734 0.734  0.00
23 Zn 0.734 0.266 0.734  0.00
24 Zn 0.734 0.734 0.266  0.00
25 Zn 0.266 0.266 0.734  0.00
26 Zn 0.734 0.266 0.266  0.00
27 Pu 0.750 0.750 0.750  -5.41
28 Pu 0.250 0.250 0.250  -5.41

Computed properties:
The calculation puts the energy of formation from the pure elements at -0.09 eV per atom.

***

# 6
Material: PuZn2Au2
Method: DFT, PBE
State: optimized geometry

a b c (Å): 3.046 9.108 14.285
angles (deg): 90.00 90.00 90.00
Site moments in Bohr magnetons follow the coordinates.
Fractional coordinates of all 20 atoms:
1 Zn 0.250 0.578 0.346  0.00
2 Zn 0.750 0.922 0.846  0.00
3 Zn 0.250 0.078 0.154  0.00
4 Zn 0.750 0.400 0.037  -0.01
5 Zn 0.250 0.600 0.963  -0.01
6 Zn 0.750 0.900 0.463  -0.01
7 Zn 0.750 0.422 0.654  0.00
8 Zn 0.250 0.100 0.537  -0.01
9 Au 0.250 0.369 0.491  0.01
10 Au 0.750 0.631 0.509  0.01
11 Au 0.250 0.388 0.193  0.02
12 Au 0.250 0.869 0.009  0.01
13 Au 0.750 0.112 0.693  0.02
14 Au 0.250 0.888 0.307  0.02
15 Au 0.750 0.131 0.991  0.01
16 Au 0.750 0.612 0.807  0.02
17 Pu 0.250 0.805 0.661  5.50
18 Pu 0.750 0.695 0.161  5.50
19 Pu 0.750 0.195 0.339  5.50
20 Pu 0.250 0.305 0.839  5.50

Computed properties:
The calculation puts the energy of formation from the pure elements at -0.23 eV per atom.

***

# 7
Material: Pu3Zn7Au4
Method: DFT, PBE
State: optimized geometry

a b c (Å): 4.501 8.253 8.367
angles (deg): 68.11 74.40 74.18
Site moments in Bohr magnetons follow the coordinates.
Fractional coordinates of all 14 atoms:
1 Zn 0.139 0.651 0.072  0.01
2 Zn 0.336 0.812 0.515  0.00
3 Zn 0.000 0.000 0.000  -0.01
4 Zn 0.500 0.825 0.175  0.00
5 Zn 0.664 0.188 0.485  0.00
6 Zn 0.861 0.349 0.928  0.01
7 Zn 0.500 0.175 0.825  0.00
8 Au 0.653 0.481 0.212  0.00
9 Au 0.871 0.912 0.345  0.01
10 Au 0.347 0.519 0.788  0.00
11 Au 0.129 0.088 0.655  0.01
12 Pu 0.000 0.500 0.500  5.41
13 Pu 0.293 0.206 0.207  5.30
14 Pu 0.707 0.794 0.793  5.30

Computed properties:
The calculation puts the energy of formation from the pure elements at -0.31 eV per atom.

***

# 8
Material: Pu2Zn12Au7
Method: DFT, PBE
State: optimized geometry

a b c (Å): 4.195 10.421 10.421
angles (deg): 120.00 90.00 90.00
Site moments in Bohr magnetons follow the coordinates.
Fractional coordinates of all 21 atoms:
1 Zn 0.243 0.117 0.265  0.00
2 Zn 0.243 0.735 0.852  0.00
3 Zn 0.751 0.041 0.430  0.00
4 Zn 0.751 0.389 0.959  0.00
5 Zn 0.757 0.883 0.735  0.00
6 Zn 0.757 0.852 0.117  0.00
7 Zn 0.757 0.265 0.148  0.00
8 Zn 0.249 0.430 0.389  0.00
9 Zn 0.249 0.959 0.570  0.00
10 Zn 0.243 0.148 0.883  0.00
11 Zn 0.751 0.570 0.611  0.00
12 Zn 0.249 0.611 0.041  0.00
13 Pu 0.248 0.333 0.667  5.37
14 Pu 0.752 0.667 0.333  5.37
15 Au 0.500 0.000 0.000  0.01
16 Au 0.749 0.285 0.416  0.01
17 Au 0.749 0.584 0.869  0.01
18 Au 0.251 0.715 0.584  0.01
19 Au 0.749 0.131 0.715  0.01
20 Au 0.251 0.869 0.285  0.01
21 Au 0.251 0.416 0.131  0.01

Computed properties:
The calculation puts the energy of formation from the pure elements at -0.24 eV per atom.

***

# 9
Material: PuZn12Au6
Method: DFT, PBE
State: optimized geometry

a b c (Å): 7.305 7.305 7.305
angles (deg): 104.77 104.77 104.77
Site moments in Bohr magnetons follow the coordinates.
Fractional coordinates of all 19 atoms:
1 Zn 0.500 0.892 0.108  0.00
2 Zn 0.108 0.500 0.892  0.00
3 Zn 0.383 0.137 0.383  0.01
4 Zn 0.500 0.108 0.892  0.00
5 Zn 0.137 0.383 0.383  0.01
6 Zn 0.108 0.892 0.500  0.00
7 Zn 0.892 0.500 0.108  0.00
8 Zn 0.863 0.617 0.617  0.01
9 Zn 0.383 0.383 0.137  0.01
10 Zn 0.617 0.617 0.863  0.01
11 Zn 0.892 0.108 0.500  0.00
12 Zn 0.617 0.863 0.617  0.01
13 Au 0.715 0.288 0.715  0.00
14 Au 0.712 0.285 0.285  0.00
15 Au 0.715 0.715 0.288  0.00
16 Au 0.288 0.715 0.715  0.00
17 Au 0.285 0.285 0.712  0.00
18 Au 0.285 0.712 0.285  0.00
19 Pu 0.000 0.000 0.000  5.56

Computed properties:
The calculation puts the energy of formation from the pure elements at -0.17 eV per atom.

***

# 10
Material: PuZn6Au2
Method: DFT, PBE
State: optimized geometry

a b c (Å): 3.968 3.968 10.344
angles (deg): 90.00 90.00 90.00
Site moments in Bohr magnetons follow the coordinates.
Fractional coordinates of all 9 atoms:
1 Zn 0.500 0.500 0.500  0.01
2 Zn 0.500 0.000 0.689  0.00
3 Zn 0.000 0.000 0.500  0.00
4 Zn 0.000 0.500 0.311  0.00
5 Zn 0.000 0.500 0.689  0.00
6 Zn 0.500 0.000 0.311  0.00
7 Au 0.500 0.500 0.864  0.01
8 Au 0.500 0.500 0.136  0.01
9 Pu 0.000 0.000 0.000  5.31

Computed properties:
The calculation puts the energy of formation from the pure elements at -0.16 eV per atom.

***

# 11
Material: PuZnAu
Method: DFT, PBE
State: optimized geometry

a b c (Å): 4.750 4.750 4.750
angles (deg): 60.00 60.00 60.00
Site moments in Bohr magnetons follow the coordinates.
Fractional coordinates of all 3 atoms:
1 Au 0.250 0.250 0.250  0.01
2 Pu 0.500 0.500 0.500  5.36
3 Zn 0.000 0.000 0.000  0.02

Computed properties:
The calculation puts the energy of formation from the pure elements at -0.14 eV per atom.

***

# 12
Material: Pu3Zn2Au9
Method: DFT, PBE
State: optimized geometry

a b c (Å): 4.358 8.622 8.622
angles (deg): 74.51 75.36 75.36
Site moments in Bohr magnetons follow the coordinates.
Fractional coordinates of all 14 atoms:
1 Au 0.136 0.569 0.159  0.01
2 Au 0.864 0.431 0.841  0.01
3 Au 0.136 0.159 0.569  0.01
4 Au 0.648 0.722 0.983  0.01
5 Au 0.648 0.983 0.722  0.01
6 Au 0.352 0.017 0.278  0.01
7 Au 0.864 0.841 0.431  0.01
8 Au 0.000 0.500 0.500  0.02
9 Au 0.352 0.278 0.017  0.01
10 Zn 0.500 0.684 0.316  0.01
11 Zn 0.500 0.316 0.684  0.01
12 Pu 0.293 0.707 0.707  5.36
13 Pu 0.000 0.000 0.000  5.38
14 Pu 0.707 0.293 0.293  5.36

Computed properties:
The calculation puts the energy of formation from the pure elements at -0.33 eV per atom.